# 1
FeNiPdPt, relaxed, DFT PBE; DFT total energy = -6.511 eV/atom; distance to the lowest polymorph of the same formula = 0 meV/atom; ΔE_f = -0.141 eV per atom
1.0
-3.423 -0.428 -1.752
1.787 -0.305 -3.417
1.045 -3.262 3.027
Fe Pt Ni Pd
1 1 1 1
direct
0.250 0.750 0.500
0.000 0.000 0.000
0.750 0.250 0.500
0.500 0.500 0.000

=====

# 2
Fe2Ni2Pd2Pt, relaxed, DFT PBE; DFT total energy = -6.503 eV/atom; ΔE_f = -0.086 eV per atom
1.0
3.816 0.000 0.000
-1.908 4.166 0.159
0.000 -1.233 5.854
Pd Fe Ni Pt
2 2 2 1
direct
0.419 0.838 0.284
0.581 0.162 0.716
0.710 0.421 0.165
0.290 0.579 0.835
0.145 0.289 0.432
0.855 0.711 0.568
0.000 0.000 0.000

=====

# 3
FeNi2PdPt, relaxed, DFT PBE; DFT total energy = -6.322 eV/atom; ΔE_f = -0.070 eV per atom
1.0
-2.230 2.755 2.413
-6.065 -3.431 -1.688
1.682 -1.896 3.720
Fe Ni Pd Pt
2 4 2 2
direct
0.250 0.678 0.761
0.750 0.322 0.239
0.250 0.323 0.588
0.250 0.501 0.171
0.750 0.677 0.412
0.750 0.499 0.829
0.250 0.882 0.381
0.750 0.118 0.619
0.750 0.876 0.001
0.250 0.124 0.999

=====

# 4
FeNi7Pd2Pt2, relaxed, DFT PBE; DFT total energy = -5.812 eV/atom; ΔE_f = 0.138 eV per atom
1.0
3.379 -0.002 0.010
0.002 3.379 0.010
1.638 1.636 13.968
Ni Pd Pt Fe
7 2 2 1
direct
0.435 0.935 0.131
0.724 0.724 0.548
0.935 0.435 0.131
0.565 0.065 0.869
0.065 0.565 0.869
0.500 0.500 0.000
0.276 0.276 0.452
0.366 0.366 0.270
0.634 0.634 0.730
0.816 0.816 0.370
0.184 0.184 0.630
0.000 0.000 0.000